The following is a DFT calculation (GGA-PBEsol) of a relaxed structure of Na2GeAs.

Calculated values
D(E_F)   2.6 states/eV/cell
Symmetry   No. 122
Energy of formation   0.066 eV/atom
Crystal system   tetragonal

Unit cell a=10.5790 b=10.5790 c=10.5790 alpha=157.55 beta=157.55 gamma=31.96
Closest atoms and distances in Å follow each position.
Sites, in units of the cell vectors:
Na: 0.1204 0.6250 0.9954  4 Na 2.89-2.94, 2 As 2.92, 2 Ge 2.94
Na: 0.3750 0.3704 0.4954  4 Na 2.89-2.94, 2 As 2.92, 2 Ge 2.94
Na: 0.6296 0.1250 0.0046  4 Na 2.89-2.94, 2 As 2.92, 2 Ge 2.94
Na: 0.8750 0.8796 0.5046  4 Na 2.89-2.94, 2 As 2.92, 2 Ge 2.94
Ge: 0.2500 0.7500 0.5000  4 As 2.91, 4 Na 2.94
Ge: 0.5000 0.5000 0.0000  4 As 2.91, 4 Na 2.94
As: 0.0000 0.0000 0.0000  4 Ge 2.91, 4 Na 2.92
As: 0.7500 0.2500 0.5000  4 Ge 2.91, 4 Na 2.92